DFT (PBE) results for a geometry-optimized Ca6Se2S3Br structure.

The structure in CIF format:
```
data_Ca6Se2S3Br
_cell_length_a 4.1149
_cell_length_b 8.2746
_cell_length_c 9.2207
_cell_angle_alpha 103.34
_cell_angle_beta 102.89
_cell_angle_gamma 90.00
_symmetry_space_group_name_H-M 'P 1'
_symmetry_Int_Tables_number 1
loop_
_symmetry_equiv_pos_as_xyz
'x,y,z'
loop_
_atom_site_label
_atom_site_type_symbol
_atom_site_fract_x
_atom_site_fract_y
_atom_site_fract_z
S1 S 0.8365 0.1655 0.6729
S2 S 0.1635 0.8345 0.3271
S3 S 0.5000 0.5000 0.0000
Ca1 Ca 0.9978 0.2723 0.9955
Ca2 Ca 0.3347 0.4121 0.6695
Ca3 Ca 0.3247 0.9188 0.6494
Ca4 Ca 0.6753 0.0812 0.3506
Ca5 Ca 0.0022 0.7277 0.0045
Ca6 Ca 0.6653 0.5879 0.3305
Se1 Se 0.1646 0.3288 0.3292
Se2 Se 0.8354 0.6712 0.6708
Br1 Br 0.5000 0.0000 0.0000
```

Computed properties:
The magnetization is 0.0 μB per cell. The value obtained for the total energy is -4.73 eV/atom. For the uncorrected formation energy, the calculation gives -1982 meV per atom. As for the crystal system: monoclinic.

=====

DFT (PBE) results for a geometry-optimized Ca6Se3S2Br structure.

The structure in CIF format:
```
data_Ca6Se3S2Br
_cell_length_a 4.1534
_cell_length_b 8.3153
_cell_length_c 9.2619
_cell_angle_alpha 102.57
_cell_angle_beta 102.96
_cell_angle_gamma 90.00
_symmetry_space_group_name_H-M 'P 1'
_symmetry_Int_Tables_number 1
loop_
_symmetry_equiv_pos_as_xyz
'x,y,z'
loop_
_atom_site_label
_atom_site_type_symbol
_atom_site_fract_x
_atom_site_fract_y
_atom_site_fract_z
Ca1 Ca 0.0048 0.2680 0.0095
Ca2 Ca 0.6743 0.0964 0.3487
Ca3 Ca 0.3257 0.9036 0.6513
Ca4 Ca 0.9952 0.7320 0.9905
Ca5 Ca 0.3305 0.4218 0.6609
Ca6 Ca 0.6695 0.5782 0.3391
Se1 Se 0.5000 0.5000 0.0000
Se2 Se 0.1618 0.8348 0.3236
Se3 Se 0.8382 0.1652 0.6764
S1 S 0.8336 0.6682 0.6672
S2 S 0.1664 0.3318 0.3328
Br1 Br 0.5000 0.0000 0.0000
```

Computed properties:
The magnetization is 0.0 μB per cell. The value obtained for the total energy is -4.65 eV/atom. For the uncorrected formation energy, the calculation gives -1951 meV per atom. As for the crystal system: monoclinic.